Here is crystalline Mn6Al5V at its relaxed geometry from Alexandria via LeMat-Bulk. Energies are from PBE.

Lattice parameters (Å, degrees): 4.1471 5.8790 12.4042 90.00 90.00 90.00
Last column: nearest neighbours and their distance in Å.
Space group Immm (No. 71)
Asymmetric unit:
Mn (0.0000, 0.2481, 0.0000) [4 per cell]  6 Al 2.52-2.55, 2 V 2.54
Mn (0.0000, 0.2516, 0.3336) [8 per cell]  1 V 2.53, 7 Al 2.54-2.56
Al (0.0000, 0.0000, 0.1655) [4 per cell]  8 Mn 2.52-2.56
Al (0.0000, 0.0000, 0.5000) [2 per cell]  8 Mn 2.54-2.55
Al (0.0000, 0.5000, 0.1657) [4 per cell]  8 Mn 2.53-2.55
V (0.0000, 0.5000, 0.5000) [2 per cell]  8 Mn 2.53-2.54

ΔH_f (0 K) (eV per atom): -0.251